Compound: Pu3Al4Zn2
Source: Alexandria via LeMat-Bulk
Functional: GGA-PBE
Structure: optimized geometry

Properties
magnetic moment = 0.70 μB/atom
volume = 19.0 Å³ per atom
formation energy from the elements = -0.2558 eV per atom

a = 10.0875 Å, b = 4.7242 Å, c = 8.7015 Å
α = 90.00°, β = 124.60°, γ = 90.00°
Closest atoms and distances in Å follow each position.
Space group C2/m (No. 12)
Symmetry-distinct sites (fractional):
Pu: 0.0000 0.0000 0.0000 x2  2 Pu 2.81, 8 Al 3.09-3.12, 4 Zn 3.11
Pu: 0.1822 0.5000 0.6807 x4  1 Pu 2.81, 4 Al 3.05-3.06, 4 Zn 3.07-3.12
Al: 0.0530 0.0000 0.3892 x4  2 Al 2.68-2.94, 3 Zn 2.71-2.99
Al: 0.2201 0.5000 0.0543 x4  3 Al 2.74-2.94, 2 Zn 2.78-2.90, 3 Pu 3.05
Zn: 0.1054 0.5000 0.2792 x4  5 Al 2.71-2.99